First-principles (PBE) data for a geometry-optimized Li2Ag4Sn structure, as listed in the Alexandria database.

Cell lengths 5.6212, 5.6212, 5.4414 Å; angles 102.64, 102.64, 121.44 degrees
Element x y z (fractional)
Li 0.2455 0.7545 0.0000
Li 0.7545 0.2455 0.0000
Ag 0.2935 0.7065 0.5000
Ag 0.2950 0.2950 0.0937
Ag 0.7050 0.7050 0.9063
Ag 0.7065 0.2935 0.5000
Sn 0.0000 0.0000 0.5000

Computed properties:
* calculated total energy: -19.564 eV/cell
* formation energy: -32 kJ/mol of formula units
* energy relative to the lowest polymorph listed for this composition: 0 meV/atom

---

First-principles (PBE) data for a geometry-optimized Li6AgSn structure, as listed in the Alexandria database.

Cell lengths 5.8434, 5.8434, 4.8059 Å; angles 90.00, 90.00, 120.00 degrees
Element x y z (fractional)
Li 0.0158 0.5079 0.0000
Li 0.3266 0.1633 0.5000
Li 0.4921 0.5079 0.0000
Li 0.4921 0.9842 0.0000
Li 0.8367 0.1633 0.5000
Li 0.8367 0.6734 0.5000
Ag 0.0000 0.0000 0.0000
Sn 0.3333 0.6667 0.5000

Computed properties:
* calculated total energy: -20.331 eV/cell
* formation energy: -192 kJ/mol of formula units

---

First-principles (PBE) data for a geometry-optimized LiAg2Sn2 structure, as listed in the Alexandria database.

Cell lengths 7.1925, 7.1925, 7.1925 Å; angles 145.55, 145.55, 49.51 degrees
Element x y z (fractional)
Li 0.0000 0.0000 0.0000
Ag 0.2500 0.7500 0.5000
Ag 0.7500 0.2500 0.5000
Sn 0.3918 0.3918 0.0000
Sn 0.6082 0.6082 0.0000

Computed properties:
* calculated total energy: -15.538 eV/cell
* formation energy: 8 kJ/mol of formula units
* energy relative to the lowest polymorph listed for this composition: 149 meV/atom

---

First-principles (PBE) data for a geometry-optimized Li2Ag7Sn structure, as listed in the Alexandria database.

Cell lengths 7.4869, 7.4869, 4.5053 Å; angles 90.00, 90.00, 119.94 degrees
Element x y z (fractional)
Li 0.1983 0.8017 0.0000
Li 0.8017 0.1983 0.0000
Ag 0.0000 0.0000 0.0000
Ag 0.1947 0.4305 0.0000
Ag 0.2841 0.7159 0.5000
Ag 0.4305 0.1947 0.0000
Ag 0.5695 0.8053 0.0000
Ag 0.7159 0.2841 0.5000
Ag 0.8053 0.5695 0.0000
Sn 0.5000 0.5000 0.5000

Computed properties:
* calculated total energy: -25.478 eV/cell
* formation energy: 223 kJ/mol of formula units

---

First-principles (PBE) data for a geometry-optimized Li8Ag3Sn2 structure, as listed in the Alexandria database.

Cell lengths 8.5138, 8.5138, 4.7472 Å; angles 90.04, 90.04, 45.26 degrees
Element x y z (fractional)
Li 0.0974 0.6973 0.9995
Li 0.1759 0.1759 0.5015
Li 0.3027 0.9026 0.0005
Li 0.3766 0.3766 0.5011
Li 0.6234 0.6234 0.4989
Li 0.6973 0.0974 0.9995
Li 0.8241 0.8241 0.4985
Li 0.9026 0.3027 0.0005
Ag 0.2086 0.7914 0.5000
Ag 0.5000 0.5000 0.0000
Ag 0.7914 0.2086 0.5000
Sn 0.2670 0.2670 0.0020
Sn 0.7330 0.7330 0.9980

Computed properties:
* calculated total energy: -34.194 eV/cell
* formation energy: -224 kJ/mol of formula units

---

First-principles (PBE) data for a geometry-optimized Li2AgSn2 structure, as listed in the Alexandria database.

Cell lengths 7.4370, 7.4370, 3.7947 Å; angles 90.00, 90.00, 90.00 degrees
Element x y z (fractional)
Li 0.1592 0.3408 0.0000
Li 0.3408 0.8408 0.0000
Li 0.6592 0.1592 0.0000
Li 0.8408 0.6592 0.0000
Ag 0.0000 0.0000 0.5000
Ag 0.5000 0.5000 0.5000
Sn 0.1428 0.6428 0.5000
Sn 0.3572 0.1428 0.5000
Sn 0.6428 0.8572 0.5000
Sn 0.8572 0.3572 0.5000

Computed properties:
* calculated total energy: -31.291 eV/cell
* formation energy: -93 kJ/mol of formula units

---

First-principles (PBE) data for a geometry-optimized Li7Ag2Sn3 structure, as listed in the Alexandria database.

Cell lengths 4.6260, 3.5674, 14.0597 Å; angles 90.00, 99.01, 90.00 degrees
Element x y z (fractional)
Li 0.0000 0.0000 0.0000
Li 0.0706 0.5000 0.1475
Li 0.2311 0.5000 0.4617
Li 0.4217 0.0000 0.8366
Li 0.5783 0.0000 0.1634
Li 0.7689 0.5000 0.5383
Li 0.9294 0.5000 0.8525
Ag 0.3388 0.5000 0.6704
Ag 0.6612 0.5000 0.3296
Sn 0.1497 0.0000 0.3086
Sn 0.5000 0.5000 0.0000
Sn 0.8503 0.0000 0.6914

Computed properties:
* calculated total energy: -33.825 eV/cell
* formation energy: -262 kJ/mol of formula units

---

First-principles (PBE) data for a geometry-optimized LiAgSn structure, as listed in the Alexandria database.

Cell lengths 5.1993, 4.9234, 9.0498 Å; angles 90.00, 90.00, 90.00 degrees
Element x y z (fractional)
Li 0.1646 0.2500 0.1725
Li 0.3355 0.7500 0.6725
Li 0.6646 0.2500 0.3275
Li 0.8354 0.7500 0.8275
Ag 0.2056 0.2500 0.8281
Ag 0.2944 0.7500 0.3281
Ag 0.7056 0.2500 0.6719
Ag 0.7944 0.7500 0.1719
Sn 0.2014 0.2500 0.5054
Sn 0.2986 0.7500 0.0054
Sn 0.7014 0.2500 0.9946
Sn 0.7986 0.7500 0.4946

Computed properties:
* calculated total energy: -37.904 eV/cell
* formation energy: -68 kJ/mol of formula units

---

First-principles (PBE) data for a geometry-optimized Li3Ag6Sn structure, as listed in the Alexandria database.

Cell lengths 8.4374, 8.4374, 5.3983 Å; angles 90.00, 90.00, 106.44 degrees
Element x y z (fractional)
Li 0.1185 0.8815 0.5000
Li 0.2129 0.3954 0.8651
Li 0.3954 0.2129 0.3651
Li 0.6046 0.7871 0.8651
Li 0.7871 0.6046 0.3651
Li 0.8815 0.1185 0.0000
Ag 0.0346 0.4694 0.2570
Ag 0.0851 0.1919 0.4896
Ag 0.1919 0.0851 0.9896
Ag 0.2479 0.7521 0.0193
Ag 0.4694 0.0346 0.7570
Ag 0.4697 0.5303 0.1685
Ag 0.5303 0.4697 0.6685
Ag 0.5306 0.9654 0.2570
Ag 0.7521 0.2479 0.5193
Ag 0.8081 0.9149 0.4896
Ag 0.9149 0.8081 0.9896
Ag 0.9654 0.5306 0.7570
Sn 0.3239 0.6761 0.5287
Sn 0.6761 0.3239 0.0287

Computed properties:
* calculated total energy: -55.261 eV/cell
* formation energy: -75 kJ/mol of formula units
* energy relative to the lowest polymorph listed for this composition: 0 meV/atom

---

First-principles (PBE) data for a geometry-optimized Li5Ag2Sn5 structure, as listed in the Alexandria database.

Cell lengths 5.2757, 5.2757, 12.0347 Å; angles 108.67, 108.67, 53.88 degrees
Element x y z (fractional)
Li 0.0000 0.0000 0.0000
Li 0.1063 0.1063 0.7348
Li 0.1656 0.1656 0.4881
Li 0.8344 0.8344 0.5119
Li 0.8937 0.8937 0.2652
Ag 0.4116 0.4116 0.6987
Ag 0.5884 0.5884 0.3013
Sn 0.2143 0.2143 0.2578
Sn 0.3496 0.3496 0.0636
Sn 0.5000 0.5000 0.5000
Sn 0.6504 0.6504 0.9364
Sn 0.7857 0.7857 0.7422

Computed properties:
* calculated total energy: -38.252 eV/cell
* formation energy: -286 kJ/mol of formula units
* energy relative to the lowest polymorph listed for this composition: 0 meV/atom

---

First-principles (PBE) data for a geometry-optimized Li4AgSn structure, as listed in the Alexandria database.

Cell lengths 8.4269, 8.4269, 4.5997 Å; angles 90.00, 90.00, 141.16 degrees
Element x y z (fractional)
Li 0.0416 0.4557 0.2500
Li 0.1995 0.2809 0.2500
Li 0.2809 0.1995 0.7500
Li 0.4557 0.0416 0.7500
Li 0.5443 0.9584 0.2500
Li 0.7191 0.8005 0.2500
Li 0.8005 0.7191 0.7500
Li 0.9584 0.5443 0.7500
Ag 0.3840 0.6160 0.7500
Ag 0.6160 0.3840 0.2500
Sn 0.1301 0.8699 0.2500
Sn 0.8699 0.1301 0.7500

Computed properties:
* calculated total energy: -32.807 eV/cell
* formation energy: -183 kJ/mol of formula units
* energy relative to the lowest polymorph listed for this composition: 0 meV/atom

---

First-principles (PBE) data for a geometry-optimized LiAg12Sn6 structure, as listed in the Alexandria database.

Cell lengths 7.3568, 7.3568, 7.3568 Å; angles 95.12, 95.12, 95.12 degrees
Element x y z (fractional)
Li 0.0000 0.0000 0.0000
Ag 0.0947 0.1069 0.3722
Ag 0.1069 0.3722 0.0947
Ag 0.2032 0.4868 0.4912
Ag 0.3722 0.0947 0.1069
Ag 0.4868 0.4912 0.2032
Ag 0.4912 0.2032 0.4868
Ag 0.5088 0.7968 0.5132
Ag 0.5132 0.5088 0.7968
Ag 0.6278 0.9053 0.8931
Ag 0.7968 0.5132 0.5088
Ag 0.8931 0.6278 0.9053
Ag 0.9053 0.8931 0.6278
Sn 0.2009 0.7559 0.2238
Sn 0.2238 0.2009 0.7559
Sn 0.2441 0.7762 0.7991
Sn 0.7559 0.2238 0.2009
Sn 0.7762 0.7991 0.2441
Sn 0.7991 0.2441 0.7762

Computed properties:
* calculated total energy: -59.764 eV/cell
* formation energy: 37 kJ/mol of formula units
* energy relative to the lowest polymorph listed for this composition: 26 meV/atom

---

First-principles (PBE) data for a geometry-optimized Li5Ag4Sn structure, as listed in the Alexandria database.

Cell lengths 3.2177, 3.2177, 16.2059 Å; angles 90.00, 90.00, 90.00 degrees
Element x y z (fractional)
Li 0.0000 0.0000 0.0000
Li 0.0000 0.0000 0.1945
Li 0.0000 0.0000 0.3889
Li 0.0000 0.0000 0.6111
Li 0.0000 0.0000 0.8055
Ag 0.5000 0.5000 0.0973
Ag 0.5000 0.5000 0.2926
Ag 0.5000 0.5000 0.7074
Ag 0.5000 0.5000 0.9027
Sn 0.5000 0.5000 0.5000

Computed properties:
* calculated total energy: -27.338 eV/cell
* formation energy: -228 kJ/mol of formula units

---

First-principles (PBE) data for a geometry-optimized Li4AgSn2 structure, as listed in the Alexandria database.

Cell lengths 5.0901, 6.1555, 8.5217 Å; angles 90.00, 95.97, 90.00 degrees
Element x y z (fractional)
Li 0.1136 0.2500 0.1245
Li 0.3513 0.7500 0.4192
Li 0.3632 0.5417 0.7156
Li 0.3632 0.9583 0.7156
Li 0.6368 0.0417 0.2844
Li 0.6368 0.4583 0.2844
Li 0.6487 0.2500 0.5808
Li 0.8864 0.7500 0.8755
Ag 0.0279 0.2500 0.8050
Ag 0.9721 0.7500 0.1950
Sn 0.1203 0.2500 0.4553
Sn 0.4234 0.7500 0.0311
Sn 0.5766 0.2500 0.9689
Sn 0.8797 0.7500 0.5447

Computed properties:
* calculated total energy: -40.801 eV/cell
* formation energy: -182 kJ/mol of formula units

---

First-principles (PBE) data for a geometry-optimized Li4Ag15Sn structure, as listed in the Alexandria database.

Cell lengths 4.1592, 4.1592, 20.3314 Å; angles 90.00, 90.00, 90.00 degrees
Element x y z (fractional)
Li 0.0000 0.0000 0.0985
Li 0.0000 0.0000 0.2932
Li 0.0000 0.0000 0.7068
Li 0.0000 0.0000 0.9015
Ag 0.0000 0.5000 0.0000
Ag 0.0000 0.5000 0.1953
Ag 0.0000 0.5000 0.3912
Ag 0.0000 0.5000 0.6088
Ag 0.0000 0.5000 0.8047
Ag 0.5000 0.0000 0.0000
Ag 0.5000 0.0000 0.1953
Ag 0.5000 0.0000 0.3912
Ag 0.5000 0.0000 0.6088
Ag 0.5000 0.0000 0.8047
Ag 0.5000 0.5000 0.0977
Ag 0.5000 0.5000 0.2932
Ag 0.5000 0.5000 0.5000
Ag 0.5000 0.5000 0.7068
Ag 0.5000 0.5000 0.9023
Sn 0.0000 0.0000 0.5000

Computed properties:
* calculated total energy: -56.156 eV/cell
* formation energy: -167 kJ/mol of formula units

---

First-principles (PBE) data for a geometry-optimized LiAgSn3 structure, as listed in the Alexandria database.

Cell lengths 3.3263, 9.2841, 7.9850 Å; angles 90.00, 90.10, 90.00 degrees
Element x y z (fractional)
Li 0.0024 0.2500 0.4676
Li 0.9976 0.7500 0.5324
Ag 0.0064 0.2500 0.8314
Ag 0.9936 0.7500 0.1686
Sn 0.4922 0.7500 0.8733
Sn 0.4955 0.5247 0.3151
Sn 0.4955 0.9753 0.3151
Sn 0.5045 0.0247 0.6849
Sn 0.5045 0.4753 0.6849
Sn 0.5078 0.2500 0.1267

Computed properties:
* calculated total energy: -34.406 eV/cell
* formation energy: -41 kJ/mol of formula units
* energy relative to the lowest polymorph listed for this composition: 0 meV/atom

---

First-principles (PBE) data for a geometry-optimized Li3AgSn structure, as listed in the Alexandria database.

Cell lengths 4.6532, 5.6529, 7.1805 Å; angles 76.14, 71.55, 88.68 degrees
Element x y z (fractional)
Li 0.0000 0.0000 0.0000
Li 0.0000 0.5000 0.0000
Li 0.2036 0.2850 0.5934
Li 0.3912 0.0986 0.2202
Li 0.6088 0.9014 0.7798
Li 0.7964 0.7150 0.4066
Ag 0.1944 0.7789 0.6072
Ag 0.8056 0.2211 0.3928
Sn 0.4038 0.6108 0.1929
Sn 0.5962 0.3892 0.8071

Computed properties:
* calculated total energy: -28.178 eV/cell
* formation energy: -144 kJ/mol of formula units
* energy relative to the lowest polymorph listed for this composition: 41 meV/atom

---

First-principles (PBE) data for a geometry-optimized Li5Ag6Sn structure, as listed in the Alexandria database.

Cell lengths 7.2762, 7.2762, 6.3848 Å; angles 90.08, 90.08, 143.29 degrees
Element x y z (fractional)
Li 0.0000 0.0000 0.0000
Li 0.3333 0.6667 0.0000
Li 0.3402 0.6598 0.5000
Li 0.6598 0.3402 0.5000
Li 0.6667 0.3333 0.0000
Ag 0.1757 0.8240 0.2464
Ag 0.1760 0.8243 0.7536
Ag 0.5005 0.5005 0.2275
Ag 0.4995 0.4995 0.7725
Ag 0.8240 0.1757 0.2464
Ag 0.8243 0.1760 0.7536
Sn 0.0000 0.0000 0.5000

Computed properties:
* calculated total energy: -33.255 eV/cell
* formation energy: -249 kJ/mol of formula units

---

First-principles (PBE) data for a geometry-optimized Li2Ag2Sn3 structure, as listed in the Alexandria database.

Cell lengths 4.7690, 4.7690, 7.8019 Å; angles 110.99, 110.99, 68.36 degrees
Element x y z (fractional)
Li 0.1728 0.1728 0.2448
Li 0.8272 0.8272 0.7552
Ag 0.4145 0.4145 0.6344
Ag 0.5855 0.5855 0.3656
Sn 0.0000 0.0000 0.5000
Sn 0.2868 0.2868 0.9399
Sn 0.7132 0.7132 0.0601

Computed properties:
* calculated total energy: -22.589 eV/cell
* formation energy: -101 kJ/mol of formula units

---

First-principles (PBE) data for a geometry-optimized Li2AgSn2 structure, as listed in the Alexandria database.

Cell lengths 6.8324, 6.8324, 4.2220 Å; angles 90.00, 90.00, 90.00 degrees
Element x y z (fractional)
Li 0.1393 0.3607 0.0000
Li 0.3607 0.8607 0.0000
Li 0.6393 0.1393 0.0000
Li 0.8607 0.6393 0.0000
Ag 0.0000 0.0000 0.0000
Ag 0.5000 0.5000 0.0000
Sn 0.1667 0.6667 0.5000
Sn 0.3333 0.1667 0.5000
Sn 0.6667 0.8333 0.5000
Sn 0.8333 0.3333 0.5000

Computed properties:
* calculated total energy: -30.968 eV/cell
* formation energy: -77 kJ/mol of formula units

---

First-principles (PBE) data for a geometry-optimized Li2Ag6Sn3 structure, as listed in the Alexandria database.

Cell lengths 5.0138, 6.9226, 7.0594 Å; angles 110.15, 104.74, 99.66 degrees
Element x y z (fractional)
Li 0.2090 0.0482 0.3948
Li 0.7910 0.9518 0.6052
Ag 0.0394 0.3948 0.6833
Ag 0.1278 0.2206 0.0488
Ag 0.3142 0.8560 0.7637
Ag 0.6858 0.1440 0.2363
Ag 0.8722 0.7794 0.9512
Ag 0.9606 0.6052 0.3167
Sn 0.4219 0.7059 0.1383
Sn 0.5000 0.5000 0.5000
Sn 0.5781 0.2941 0.8617

Computed properties:
* calculated total energy: -33.947 eV/cell
* formation energy: -97 kJ/mol of formula units

---

For reference, V by record: 131.2, 142.2, 118.5, 218.8, 244.4, 209.9, 229.2, 231.7, 368.6, 252.5, 204.9, 393.1, 167.8, 265.6, 351.7, 246.6, 173.7, 202.1, 148.7, 197.1, 213.5 Å³/cell.